# 1
An optimized crystal structure of Ho2Er4Cd. Source: the Alexandria database, functional PBE.

abc: 16.296 3.462 8.384
angles: 90.00 117.24 90.00
Space group C2/m (No. 12)
Inequivalent atoms, fractional coordinates:
Ho  0.218  0.000  0.141
Er  0.080  0.000  0.702
Er  0.131  0.500  0.395
Cd  0.000  0.000  0.000

Output
Calculated total energy = -56.0 eV per cell
M_tot = 0.00 μB/cell
Calculated formation energy = 0.0469 eV per atom

***

# 2
An optimized crystal structure of Dy2Er3PuSe6. Source: the Alexandria database, functional PBE.

abc: 17.740 4.044 8.169
angles: 90.00 103.47 90.00
Space group C2/m (No. 12)
Inequivalent atoms, fractional coordinates:
Dy  0.164  0.000  0.329
Er  0.000  0.500  0.500
Er  0.165  0.000  0.835
Pu  0.000  0.500  0.000
Se  0.001  0.000  0.744
Se  0.167  0.500  0.585
Se  0.170  0.500  0.083

Output
Calculated total energy = -157.3 eV per cell
M_tot = 12.10 μB/cell
ΔE_f (raw) = -20.50 eV per formula unit

***

# 3
An optimized crystal structure of Pu2Th2Ge4Rh. Source: the Alexandria database, functional PBE.

abc: 7.134 7.134 8.203
angles: 90.00 90.00 90.00
Space group I4/mmm (No. 139)
Inequivalent atoms, fractional coordinates:
Pu  0.000  0.000  0.175
Th  0.000  0.500  0.250
Ge  0.245  0.245  0.500
Rh  0.000  0.000  0.500

Output
Calculated total energy = -146.2 eV per cell
M_tot = 22.58 μB/cell
Calculated formation energy = -0.4202 eV per atom

***

# 4
An optimized crystal structure of NaEr2AuO5. Source: the Alexandria database, functional PBE.

abc: 6.471 6.471 5.880
angles: 90.00 90.00 90.00
Space group P4/mbm (No. 127)
Inequivalent atoms, fractional coordinates:
Na  0.000  0.000  0.000
Er  0.177  0.323  0.500
Au  0.000  0.500  0.000
O  0.000  0.000  0.500
O  0.138  0.638  0.263

Output
Calculated total energy = -117.3 eV per cell
M_tot = 0.00 μB/cell
ΔE_f (raw) = -20.14 eV per formula unit